This record from Alexandria describes a geometry-optimized V2HF structure. The functional is GGA+U.

a b c (Å): 5.8391 5.8391 5.8391
angles (deg): 131.00 131.00 71.81
Fractional coordinates of all 8 atoms:
V 0.0849 0.6250 0.9599
V 0.3750 0.3349 0.4599
V 0.6651 0.1250 0.0401
V 0.8750 0.9151 0.5401
H 0.0000 0.0000 0.0000
H 0.7500 0.2500 0.5000
F 0.2500 0.7500 0.5000
F 0.5000 0.5000 0.0000

- V (Å³/atom) = 13.86
- crystal system = tetragonal
- raw total energy (eV per atom) = -5.1136
- total magnetic moment (μB per formula unit) = 7.014